1.
# BaTaHg2

A geometry-optimized BaTaHg2 structure (PBE, Alexandria).

```
BaTaHg2
1.0
10.559 -0.017 -0.010
10.029 3.304 -0.010
10.029 1.601 2.890
Ba Hg Ta
1 2 1
Direct
0.750 0.750 0.750
0.988 0.988 0.988
0.512 0.512 0.512
0.250 0.250 0.250
```

Output
M_tot: 0.0 μB per formula unit
N(E_F): 1.024 states/eV per atom
V: 101.6 Å³/cell
calculated formation energy: 483 meV per atom



2.
# SrGa2S4

A geometry-optimized SrGa2S4 structure (PBE, Alexandria).

```
SrGa2S4
1.0
12.072 0.001 0.000
-5.763 10.608 0.000
-3.155 -5.304 10.598
Sr Ga S
8 16 32
Direct
0.498 0.998 0.997
0.002 0.502 0.003
0.752 0.752 0.503
0.248 0.248 0.497
0.250 0.750 0.500
0.000 0.000 0.000
0.750 0.250 0.500
0.500 0.500 0.000
0.235 0.511 0.749
0.762 0.486 0.251
0.489 0.765 0.251
0.514 0.238 0.749
0.015 0.239 0.751
0.488 0.264 0.249
0.761 0.985 0.249
0.736 0.512 0.751
0.592 0.735 0.750
0.985 0.842 0.250
0.265 0.408 0.250
0.158 0.015 0.750
0.658 0.015 0.750
0.265 0.908 0.250
0.985 0.342 0.250
0.092 0.735 0.750
0.312 0.217 0.748
0.469 0.564 0.252
0.783 0.688 0.252
0.436 0.531 0.748
0.938 0.533 0.752
0.781 0.186 0.248
0.467 0.062 0.248
0.814 0.219 0.752
0.977 0.036 0.752
0.284 0.225 0.248
0.964 0.023 0.248
0.775 0.716 0.752
0.273 0.714 0.748
0.966 0.525 0.252
0.286 0.727 0.252
0.475 0.034 0.748
0.208 0.958 0.414
0.544 0.794 0.586
0.042 0.792 0.586
0.206 0.456 0.414
0.042 0.792 0.086
0.706 0.956 0.914
0.208 0.958 0.914
0.044 0.294 0.086
0.545 0.294 0.087
0.208 0.458 0.913
0.706 0.455 0.913
0.542 0.792 0.087
0.705 0.456 0.413
0.042 0.292 0.587
0.544 0.295 0.587
0.708 0.958 0.413
```

Output
formation energy from raw total energies: -1177 meV/atom
M_tot: 0.0 μB per formula unit
N(E_F): 0.000 states/eV per atom
V: 1357.3 Å³/cell



3.
# TiBeZn2Cd

A geometry-optimized TiBeZn2Cd structure (PBE, Alexandria).

```
TiBeZn2Cd
1.0
4.993 0.000 0.000
0.000 5.341 0.000
0.000 0.000 4.993
Be Zn Ti Cd
1 2 1 1
Direct
0.500 0.500 0.500
0.000 0.000 0.500
0.500 0.000 0.000
0.000 0.000 0.000
0.000 0.500 0.000
```

Output
M_tot: 2.3 μB per formula unit
N(E_F): 0.951 states/eV per atom
V: 133.2 Å³/cell
calculated formation energy: 1314 meV per atom



4.
# Pm5Sn6Pb

A geometry-optimized Pm5Sn6Pb structure (PBE, Alexandria).

```
Pm5Sn6Pb
1.0
8.320 -0.451 0.000
1.838 8.238 0.000
0.919 4.119 5.357
Pm Sn Pb
5 6 1
Direct
0.500 0.161 0.677
0.000 0.319 0.361
0.500 0.500 0.000
0.000 0.681 0.639
0.500 0.839 0.323
0.744 0.085 0.340
0.256 0.575 0.340
0.246 0.258 0.000
0.754 0.742 0.000
0.744 0.425 0.660
0.256 0.915 0.660
0.000 0.000 0.000
```

Output
M_tot: 0.0 μB per formula unit
N(E_F): 0.668 states/eV per atom
V: 371.6 Å³/cell
calculated formation energy: -446 meV per atom



5.
# Na2Ac3ErSe6

A geometry-optimized Na2Ac3ErSe6 structure (PBE, Alexandria).

```
Na2Ac3ErSe6
1.0
-3.317 6.767 -0.746
-4.009 -5.915 2.509
4.180 1.304 5.968
Na Ac Er Se
2 3 1 6
Direct
0.335 0.665 0.000
0.665 0.335 0.000
0.172 0.828 0.500
0.828 0.172 0.500
0.500 0.500 0.500
0.000 0.000 0.000
0.923 0.602 0.771
0.759 0.759 0.238
0.077 0.398 0.229
0.602 0.923 0.771
0.241 0.241 0.762
0.398 0.077 0.229
```

Output
formation energy from raw total energies: -1725 meV/atom
M_tot: 0.0 μB per formula unit
N(E_F): 0.320 states/eV per atom
V: 346.3 Å³/cell



6.
# Ac3Pr12Er

A geometry-optimized Ac3Pr12Er structure (PBE, Alexandria).

```
Ac3Pr12Er
1.0
-1.711 -2.600 -4.301
4.995 -0.376 -1.759
2.220 -18.397 10.239
Ac Pr Er
3 12 1
Direct
0.000 0.000 0.247
0.000 0.000 0.500
0.000 0.000 0.753
0.500 0.500 0.000
0.500 0.500 0.246
0.500 0.500 0.500
0.500 0.500 0.754
0.500 0.000 0.119
0.500 0.000 0.374
0.500 0.000 0.626
0.500 0.000 0.881
0.000 0.500 0.119
0.000 0.500 0.374
0.000 0.500 0.626
0.000 0.500 0.881
0.000 0.000 0.000
```

Output
M_tot: 0.0 μB per formula unit
N(E_F): 1.695 states/eV per atom
V: 596.7 Å³/cell
calculated formation energy: 20 meV per atom



7.
# TbCd2Ag

A geometry-optimized TbCd2Ag structure (PBE, Alexandria).

```
TbCd2Ag
1.0
5.075 0.000 0.000
0.000 5.071 0.455
0.000 -0.617 6.888
Tb Cd Ag
2 4 2
Direct
0.750 0.313 0.750
0.250 0.687 0.250
0.750 0.811 0.004
0.250 0.189 0.996
0.750 0.811 0.496
0.250 0.189 0.504
0.750 0.302 0.250
0.250 0.698 0.750
```

Output
M_tot: 0.0 μB per formula unit
N(E_F): 0.443 states/eV per atom
V: 178.7 Å³/cell
calculated formation energy: -245 meV per atom



8.
# CsSrHBr2

A geometry-optimized CsSrHBr2 structure (PBE, Alexandria).

```
CsSrHBr2
1.0
-4.888 -2.855 -2.382
3.718 -3.821 -3.050
-0.050 -2.989 3.685
Cs Sr Br H
1 1 2 1
Direct
0.500 0.500 0.500
0.000 0.000 0.000
0.000 0.500 0.000
0.500 0.000 0.000
0.000 0.000 0.500
```

Output
M_tot: 0.0 μB per formula unit
N(E_F): 0.000 states/eV per atom
E: -0.2439 Ry/atom
V: 179.0 Å³/cell